PBE La3YS, relaxed; ΔE_f (raw) = 2.80 eV per formula unit; size of the total moment = 0.00 μB/atom; offset from the most stable computed form = 1279 meV/atom; electronic total energy = -22.58 eV/f.u.
1.0
5.745 0.000 0.000
0.000 5.745 0.000
0.000 0.000 5.745
La Y S
3 1 1
direct
0.000 0.000 0.500
0.000 0.500 0.000
0.500 0.000 0.000
0.000 0.000 0.000
0.500 0.500 0.500

---

PBE La4YS5, relaxed; ΔE_f (raw) = -21.26 eV per formula unit; size of the total moment = 0.00 μB/atom; electronic total energy = -68.07 eV/f.u.
1.0
-4.591 4.591 2.913
4.591 -4.591 2.913
4.591 4.591 -2.913
La Y S
4 1 5
direct
0.097 0.698 0.796
0.302 0.097 0.399
0.698 0.903 0.601
0.903 0.302 0.204
0.500 0.500 0.000
0.000 0.000 0.000
0.211 0.402 0.612
0.402 0.789 0.191
0.598 0.211 0.809
0.789 0.598 0.388